# 1
# CdPt3Au PBE-GGA optimized geometry
# Energy above the lowest structure with this stoichiometry in eV per atom: 1.276
# Formation energy from the elements in kJ per mole of atoms: 110.25
# Raw total energy in eV for the cell shown: -16.6
# D(E_F) in states/eV/cell: 3.761
# Magnetic moment in μB/f.u.: 0.00
data_CdPt3Au
_chemical_formula_sum 'Cd1 Pt3 Au1'
_cell_length_a 4.965
_cell_length_b 4.965
_cell_length_c 4.965
_cell_angle_alpha 90.00
_cell_angle_beta 90.00
_cell_angle_gamma 90.00
_space_group_name_H-M_alt 'P m -3 m'
_space_group_IT_number 221
_space_group_name_Hall '-P 4 2 3'
loop_
_atom_site_label
_atom_site_type_symbol
_atom_site_fract_x
_atom_site_fract_y
_atom_site_fract_z
Cd1 Cd 0.000 0.000 0.000
Pt1 Pt 0.000 0.500 0.500
Au1 Au 0.500 0.500 0.500

=====

# 2
# Cd3Pt4Au PBE-GGA optimized geometry
# Formation energy from the elements in kJ per mole of atoms: -24.19
# Raw total energy in eV for the cell shown: -64.4
# D(E_F) in states/eV/cell: 4.156
# Magnetic moment in μB/f.u.: 0.00
data_Cd3Pt4Au
_chemical_formula_sum 'Cd6 Pt8 Au2'
_cell_length_a 4.201
_cell_length_b 4.201
_cell_length_c 15.716
_cell_angle_alpha 90.00
_cell_angle_beta 90.00
_cell_angle_gamma 90.00
_space_group_name_H-M_alt 'I 4/m m m'
_space_group_IT_number 139
_space_group_name_Hall '-I 4 2'
loop_
_atom_site_label
_atom_site_type_symbol
_atom_site_fract_x
_atom_site_fract_y
_atom_site_fract_z
Cd1 Cd 0.000 0.000 0.000
Cd2 Cd 0.000 0.000 0.250
Pt1 Pt 0.000 0.500 0.125
Au1 Au 0.000 0.000 0.500

=====

# 3
# Cd2PtAu2 PBE-GGA optimized geometry
# Energy above the lowest structure with this stoichiometry in eV per atom: 0.079
# Formation energy from the elements in kJ per mole of atoms: -4.21
# Raw total energy in eV for the cell shown: -29.3
# D(E_F) in states/eV/cell: 2.972
# Magnetic moment in μB/f.u.: 0.00
data_Cd2PtAu2
_chemical_formula_sum 'Cd4 Pt2 Au4'
_cell_length_a 7.189
_cell_length_b 7.189
_cell_length_c 3.825
_cell_angle_alpha 90.00
_cell_angle_beta 90.00
_cell_angle_gamma 90.00
_space_group_name_H-M_alt 'P 4/m b m'
_space_group_IT_number 127
_space_group_name_Hall '-P 4 2ab'
loop_
_atom_site_label
_atom_site_type_symbol
_atom_site_fract_x
_atom_site_fract_y
_atom_site_fract_z
Cd1 Cd 0.167 0.333 0.000
Pt1 Pt 0.000 0.000 0.500
Au1 Au 0.137 0.637 0.500

=====

# 4
# CdPt2Au PBE-GGA optimized geometry
# Formation energy from the elements in kJ per mole of atoms: -13.21
# Raw total energy in eV for the cell shown: -33.6
# D(E_F) in states/eV/cell: 3.657
# Magnetic moment in μB/f.u.: 0.00
data_CdPt2Au
_chemical_formula_sum 'Cd2 Pt4 Au2'
_cell_length_a 9.535
_cell_length_b 2.935
_cell_length_c 4.995
_cell_angle_alpha 90.00
_cell_angle_beta 100.57
_cell_angle_gamma 90.00
_space_group_name_H-M_alt 'C 1 m 1'
_space_group_IT_number 8
loop_
_space_group_symop_operation_xyz
'x,y,z'
'x,-y,z'
'x+1/2,y+1/2,z'
'x+1/2,-y+1/2,z'
loop_
_atom_site_label
_atom_site_type_symbol
_atom_site_fract_x
_atom_site_fract_y
_atom_site_fract_z
Cd1 Cd 0.000 0.000 0.000
Pt1 Pt 0.007 0.500 0.508
Pt2 Pt 0.250 0.000 0.753
Au1 Au 0.257 0.500 0.263

=====

# 5
# Cd4Pt2Au3 PBE-GGA optimized geometry
# Formation energy from the elements in kJ per mole of atoms: -19.98
# Raw total energy in eV for the cell shown: -27.4
# D(E_F) in states/eV/cell: 1.818
# Magnetic moment in μB/f.u.: 0.00
data_Cd4Pt2Au3
_chemical_formula_sum 'Cd4 Pt2 Au3'
_cell_length_a 4.197
_cell_length_b 5.022
_cell_length_c 8.942
_cell_angle_alpha 75.76
_cell_angle_beta 89.99
_cell_angle_gamma 65.45
_space_group_name_H-M_alt 'P -1'
_space_group_IT_number 2
loop_
_space_group_symop_operation_xyz
'x,y,z'
'-x,-y,-z'
loop_
_atom_site_label
_atom_site_type_symbol
_atom_site_fract_x
_atom_site_fract_y
_atom_site_fract_z
Cd1 Cd 0.009 0.481 0.334
Cd2 Cd 0.336 0.828 0.113
Pt1 Pt 0.331 0.838 0.785
Au1 Au 0.000 0.500 0.000
Au2 Au 0.333 0.834 0.439

=====

# 6
# Cd2PtAu2 PBE-GGA optimized geometry
# Energy above the lowest structure with this stoichiometry in eV per atom: 0.000
# Formation energy from the elements in kJ per mole of atoms: -11.80
# Raw total energy in eV for the cell shown: -30.1
# D(E_F) in states/eV/cell: 1.547
# Magnetic moment in μB/f.u.: 0.00
data_Cd2PtAu2
_chemical_formula_sum 'Cd4 Pt2 Au4'
_cell_length_a 4.6191
_cell_length_b 4.6191
_cell_length_c 10.8957
_cell_angle_alpha 90.00
_cell_angle_beta 90.00
_cell_angle_gamma 120.00
_space_group_name_H-M_alt 'P 63/m m c'
_space_group_IT_number 194
_space_group_name_Hall '-P 6c 2c'
loop_
_atom_site_label
_atom_site_type_symbol
_atom_site_fract_x
_atom_site_fract_y
_atom_site_fract_z
Cd1 Cd 0.3333 0.6667 0.1094
Pt1 Pt 0.0000 0.0000 0.2500
Au1 Au 0.0000 0.0000 0.0000
Au2 Au 0.3333 0.6667 0.7500

=====

# 7
# CdPt2Au3 PBE-GGA optimized geometry
# Formation energy from the elements in kJ per mole of atoms: -0.21
# Raw total energy in eV for the cell shown: -91.4
# D(E_F) in states/eV/cell: 12.514
# Magnetic moment in μB/f.u.: 0.00
data_CdPt2Au3
_chemical_formula_sum 'Cd4 Pt8 Au12'
_cell_length_a 8.719
_cell_length_b 9.304
_cell_length_c 5.622
_cell_angle_alpha 90.00
_cell_angle_beta 90.00
_cell_angle_gamma 90.00
_space_group_name_H-M_alt 'C m c m'
_space_group_IT_number 63
_space_group_name_Hall '-C 2c 2'
loop_
_atom_site_label
_atom_site_type_symbol
_atom_site_fract_x
_atom_site_fract_y
_atom_site_fract_z
Cd1 Cd 0.000 0.155 0.250
Pt1 Pt 0.225 0.000 0.000
Au1 Au 0.000 0.481 0.250
Au2 Au 0.180 0.251 0.750

=====

# 8
# CdPt3Au PBE-GGA optimized geometry
# Energy above the lowest structure with this stoichiometry in eV per atom: 0.000
# Formation energy from the elements in kJ per mole of atoms: -12.92
# Raw total energy in eV for the cell shown: -91.9
# D(E_F) in states/eV/cell: 17.097
# Magnetic moment in μB/f.u.: 0.00
data_CdPt3Au
_chemical_formula_sum 'Cd4 Pt12 Au4'
_cell_length_a 5.741
_cell_length_b 4.074
_cell_length_c 14.357
_cell_angle_alpha 90.00
_cell_angle_beta 90.00
_cell_angle_gamma 90.00
_space_group_name_H-M_alt 'P n m a'
_space_group_IT_number 62
loop_
_space_group_symop_operation_xyz
'x,y,z'
'-x,-y,-z'
'-x+1/2,-y,z+1/2'
'x+1/2,y,-z+1/2'
'x+1/2,-y+1/2,-z+1/2'
'-x+1/2,y+1/2,z+1/2'
'-x,y+1/2,-z'
'x,-y+1/2,z'
loop_
_atom_site_label
_atom_site_type_symbol
_atom_site_fract_x
_atom_site_fract_y
_atom_site_fract_z
Cd1 Cd 0.126 0.250 0.150
Pt1 Pt 0.123 0.250 0.751
Pt2 Pt 0.125 0.250 0.948
Pt3 Pt 0.130 0.250 0.348
Au1 Au 0.125 0.250 0.550

=====

# 9
# Cd2Pt2Au PBE-GGA optimized geometry
# Energy above the lowest structure with this stoichiometry in eV per atom: 0.134
# Formation energy from the elements in kJ per mole of atoms: -7.45
# Raw total energy in eV for the cell shown: -35.2
# D(E_F) in states/eV/cell: 2.804
# Magnetic moment in μB/f.u.: 0.00
data_Cd2Pt2Au
_chemical_formula_sum 'Cd4 Pt4 Au2'
_cell_length_a 8.039
_cell_length_b 8.039
_cell_length_c 2.928
_cell_angle_alpha 90.00
_cell_angle_beta 90.00
_cell_angle_gamma 90.00
_space_group_name_H-M_alt 'P 4/m b m'
_space_group_IT_number 127
_space_group_name_Hall '-P 4 2ab'
loop_
_atom_site_label
_atom_site_type_symbol
_atom_site_fract_x
_atom_site_fract_y
_atom_site_fract_z
Cd1 Cd 0.168 0.332 0.000
Pt1 Pt 0.129 0.629 0.500
Au1 Au 0.000 0.000 0.000

=====

# 10
# CdPt2Au PBE-GGA optimized geometry
# Formation energy from the elements in kJ per mole of atoms: 36.66
# Raw total energy in eV for the cell shown: -14.8
# D(E_F) in states/eV/cell: 3.487
# Magnetic moment in μB/f.u.: 0.00
data_CdPt2Au
_chemical_formula_sum 'Cd1 Pt2 Au1'
_cell_length_a 4.6936
_cell_length_b 4.6936
_cell_length_c 5.2382
_cell_angle_alpha 90.00
_cell_angle_beta 90.00
_cell_angle_gamma 120.00
_space_group_name_H-M_alt 'P -6 m 2'
_space_group_IT_number 187
_space_group_name_Hall 'P -6 2'
loop_
_atom_site_label
_atom_site_type_symbol
_atom_site_fract_x
_atom_site_fract_y
_atom_site_fract_z
Cd1 Cd 0.0000 0.0000 0.0000
Pt1 Pt 0.3333 0.6667 0.0000
Pt2 Pt 0.6667 0.3333 0.0000
Au1 Au 0.3333 0.6667 0.5000

=====

# 11
# CdPt2Au PBE-GGA optimized geometry
# Formation energy from the elements in kJ per mole of atoms: -12.53
# Raw total energy in eV for the cell shown: -16.8
# D(E_F) in states/eV/cell: 1.595
# Magnetic moment in μB/f.u.: 0.00
data_CdPt2Au
_chemical_formula_sum 'Cd1 Pt2 Au1'
_cell_length_a 2.868
_cell_length_b 4.108
_cell_length_c 5.820
_cell_angle_alpha 90.00
_cell_angle_beta 90.00
_cell_angle_gamma 90.00
_space_group_name_H-M_alt 'P m m 2'
_space_group_IT_number 25
loop_
_space_group_symop_operation_xyz
'x,y,z'
'-x,-y,z'
'-x,y,z'
'x,-y,z'
loop_
_atom_site_label
_atom_site_type_symbol
_atom_site_fract_x
_atom_site_fract_y
_atom_site_fract_z
Cd1 Cd 0.000 0.000 0.000
Pt1 Pt 0.000 0.000 0.490
Pt2 Pt 0.500 0.500 0.247
Au1 Au 0.500 0.500 0.737

=====

# 12
# Cd3PtAu PBE-GGA optimized geometry
# Energy above the lowest structure with this stoichiometry in eV per atom: 0.328
# Formation energy from the elements in kJ per mole of atoms: 17.73
# Raw total energy in eV for the cell shown: -11.1
# D(E_F) in states/eV/cell: 1.832
# Magnetic moment in μB/f.u.: 0.00
data_Cd3PtAu
_chemical_formula_sum 'Cd3 Pt1 Au1'
_cell_length_a 5.174
_cell_length_b 5.174
_cell_length_c 5.174
_cell_angle_alpha 90.00
_cell_angle_beta 90.00
_cell_angle_gamma 90.00
_space_group_name_H-M_alt 'P m -3 m'
_space_group_IT_number 221
_space_group_name_Hall '-P 4 2 3'
loop_
_atom_site_label
_atom_site_type_symbol
_atom_site_fract_x
_atom_site_fract_y
_atom_site_fract_z
Cd1 Cd 0.000 0.000 0.500
Pt1 Pt 0.000 0.000 0.000
Au1 Au 0.500 0.500 0.500